No. 1
Rb2Cd2Os, optimized geometry, DFT GGA-PBE; raw total energy = -1.914 eV per atom; theoretical density = 5.22 g cm⁻³; DFT formation energy = 1085 meV/atom; Fermi-level density of states = 5.65 states/eV/cell; calculated volume = 186 Å³/cell; distance to the lowest polymorph of the same formula = 0 meV per atom
1.0
-1.151 -3.771 -0.962
2.952 -1.499 2.347
-6.169 -2.731 9.523
Os Rb Cd
1 2 2
direct
0.000 0.000 0.000 Os
0.405 0.405 0.189 Rb
0.595 0.595 0.811 Rb
0.750 0.250 0.500 Cd
0.250 0.750 0.500 Cd

=====

No. 2
RbCdOs3, optimized geometry, DFT GGA-PBE; raw total energy = -3.246 eV per atom; theoretical density = 11.46 g cm⁻³; DFT formation energy = 3868 meV/atom; Fermi-level density of states = 8.56 states/eV/cell; calculated volume = 111 Å³/cell; distance to the lowest polymorph of the same formula = 946 meV per atom
1.0
4.812 0.000 0.000
0.000 4.812 0.000
0.000 0.000 4.812
Os Rb Cd
3 1 1
direct
0.000 0.500 0.000 Os
0.000 0.000 0.500 Os
0.500 0.000 0.000 Os
0.000 0.000 0.000 Rb
0.500 0.500 0.500 Cd

=====

No. 3
RbCdOs3, optimized geometry, DFT GGA-PBE; raw total energy = -4.192 eV per atom; theoretical density = 9.61 g cm⁻³; DFT formation energy = 2922 meV/atom; Fermi-level density of states = 5.42 states/eV/cell; calculated volume = 133 Å³/cell; distance to the lowest polymorph of the same formula = 0 meV per atom
1.0
5.102 0.000 0.000
0.000 5.102 0.000
0.000 0.000 5.102
Os Rb Cd
3 1 1
direct
0.000 0.500 0.000 Os
0.000 0.000 0.500 Os
0.500 0.000 0.000 Os
0.500 0.500 0.500 Rb
0.000 0.000 0.000 Cd

=====

No. 4
RbTiCd2Os, optimized geometry, DFT GGA-PBE; raw total energy = -1.772 eV per atom; theoretical density = 6.02 g cm⁻³; DFT formation energy = 2612 meV/atom; Fermi-level density of states = 3.96 states/eV/cell; calculated volume = 151 Å³/cell
1.0
-0.087 3.533 -4.143
-4.965 0.839 0.821
1.250 4.046 3.424
Ti Os Rb Cd
1 1 1 2
direct
0.000 0.500 0.000 Ti
0.500 0.500 0.500 Os
0.000 0.000 0.000 Rb
0.000 0.000 0.500 Cd
0.500 0.000 0.000 Cd